[1]
! ZnTcIrO2, relaxed, DFT PBEsol; values from VASP
! density of states at the Fermi level: 1.228 states/eV per atom
! uncorrected formation energy: 5.0 eV per formula unit
! total energy: -28.17 eV per cell
! space group: P4/mmm, No. 123
&SYSTEM
  ibrav = 0, nat = 5, ntyp = 4
/
ATOMIC_SPECIES
O 16.00 O.upf
Ir 192.22 Ir.upf
Tc 98.00 Tc.upf
Zn 65.41 Zn.upf
CELL_PARAMETERS angstrom
3.613 0.000 0.000
0.000 3.613 0.000
0.000 0.000 5.209
ATOMIC_POSITIONS crystal
O 0.500 0.000 0.000
Ir 0.500 0.500 0.500
Tc 0.000 0.000 0.500
O 0.000 0.500 0.000
Zn 0.000 0.000 0.000

***

[2]
! TeIrO6, relaxed, DFT PBEsol; values from VASP
! density of states at the Fermi level: 0.550 states/eV per atom
! uncorrected formation energy: -5.0 eV per formula unit
! total energy: -99.67 eV per cell
! space group: P2_1/c, No. 14
&SYSTEM
  ibrav = 0, nat = 16, ntyp = 3
/
ATOMIC_SPECIES
Ir 192.22 Ir.upf
O 16.00 O.upf
Te 127.60 Te.upf
CELL_PARAMETERS angstrom
4.932 0.000 -0.005
0.000 5.159 0.000
-0.019 0.000 7.210
ATOMIC_POSITIONS crystal
Ir 0.000 0.500 0.500
O 0.638 0.957 0.754
O 0.671 0.672 0.430
O 0.171 0.828 0.930
O 0.138 0.543 0.254
Te 0.500 0.000 0.500
O 0.663 0.676 0.069
O 0.862 0.457 0.746
O 0.837 0.176 0.431
O 0.329 0.328 0.570
O 0.829 0.172 0.070
Te 0.000 0.500 0.000
O 0.163 0.824 0.569
O 0.337 0.324 0.931
Ir 0.500 0.000 0.000
O 0.362 0.043 0.246

***

[3]
! TeIr3O, relaxed, DFT PBEsol; values from VASP
! density of states at the Fermi level: 1.654 states/eV per atom
! uncorrected formation energy: 4.9 eV per formula unit
! total energy: -33.37 eV per cell
! space group: Pm-3m, No. 221
&SYSTEM
  ibrav = 0, nat = 5, ntyp = 3
/
ATOMIC_SPECIES
Ir 192.22 Ir.upf
O 16.00 O.upf
Te 127.60 Te.upf
CELL_PARAMETERS angstrom
4.219 0.000 0.000
0.000 4.219 0.000
0.000 0.000 4.219
ATOMIC_POSITIONS crystal
Ir 0.000 0.500 0.000
O 0.000 0.000 0.000
Te 0.500 0.500 0.500
Ir 0.500 0.000 0.000
Ir 0.000 0.000 0.500

***

[4]
! Ti3IrO, relaxed, DFT PBEsol; values from VASP
! density of states at the Fermi level: 0.919 states/eV per atom
! uncorrected formation energy: -7.2 eV per formula unit
! total energy: -47.28 eV per cell
! space group: Pm-3m, No. 221
&SYSTEM
  ibrav = 0, nat = 5, ntyp = 3
/
ATOMIC_SPECIES
Ti 47.87 Ti.upf
Ir 192.22 Ir.upf
O 16.00 O.upf
CELL_PARAMETERS angstrom
4.032 0.000 0.000
0.000 4.032 0.000
0.000 0.000 4.032
ATOMIC_POSITIONS crystal
Ti 0.000 0.000 0.500
Ti 0.500 0.000 0.000
Ti 0.000 0.500 0.000
Ir 0.500 0.500 0.500
O 0.000 0.000 0.000

***

- Look up the density of states at the Fermi level of the fourth one.
  0.919 states/eV per atom

***

Please write out number 2 again, unchanged.
! TeIrO6, relaxed, DFT PBEsol; values from VASP
! density of states at the Fermi level: 0.550 states/eV per atom
! uncorrected formation energy: -5.0 eV per formula unit
! total energy: -99.67 eV per cell
! space group: P2_1/c, No. 14
&SYSTEM
  ibrav = 0, nat = 16, ntyp = 3
/
ATOMIC_SPECIES
Ir 192.22 Ir.upf
O 16.00 O.upf
Te 127.60 Te.upf
CELL_PARAMETERS angstrom
4.932 0.000 -0.005
0.000 5.159 0.000
-0.019 0.000 7.210
ATOMIC_POSITIONS crystal
Ir 0.000 0.500 0.500
O 0.638 0.957 0.754
O 0.671 0.672 0.430
O 0.171 0.828 0.930
O 0.138 0.543 0.254
Te 0.500 0.000 0.500
O 0.663 0.676 0.069
O 0.862 0.457 0.746
O 0.837 0.176 0.431
O 0.329 0.328 0.570
O 0.829 0.172 0.070
Te 0.000 0.500 0.000
O 0.163 0.824 0.569
O 0.337 0.324 0.931
Ir 0.500 0.000 0.000
O 0.362 0.043 0.246

***

- Number 3 is which compound?
  TeIr3O

***

- Look up the uncorrected formation energy of the fourth one.
  -7.2 eV per formula unit